PmAg2AsS4 | PBE-GGA | relaxed

Geometry as POSCAR:
```
PmAg2AsS4
1.0
7.859 -0.072 -0.200
-0.077 7.859 -0.200
-3.991 -3.994 5.693
Pm Ag As S
2 4 2 8
Direct
0.000 0.500 0.000
0.000 0.500 0.500
0.500 0.000 0.000
0.500 0.000 0.500
0.000 0.000 0.500
0.500 0.500 0.000
0.500 0.500 0.500
0.000 0.000 0.000
0.240 0.771 0.006
0.729 0.260 0.494
0.271 0.740 0.506
0.760 0.229 0.994
0.750 0.751 0.984
0.749 0.750 0.516
0.251 0.250 0.484
0.250 0.249 0.016
```

Energy   -4.560 eV/atom
Size of the total moment   0.00 μB/f.u.